Record 1
DFT (PBE-GGA) results for a relaxed AcSmPb2 crystal.

Unit cell a=4.9695 b=4.9695 c=21.4858 alpha=90.00 beta=90.00 gamma=120.00
Fractional coordinates of all 12 atoms:
Ac (0.0000, 0.0000, 0.0000)
Ac (0.3333, 0.6667, 0.6667)
Ac (0.6667, 0.3333, 0.3333)
Sm (0.0000, 0.0000, 0.8254)
Sm (0.3333, 0.6667, 0.4921)
Sm (0.6667, 0.3333, 0.1587)
Pb (0.0000, 0.0000, 0.4226)
Pb (0.0000, 0.0000, 0.5713)
Pb (0.3333, 0.6667, 0.0893)
Pb (0.3333, 0.6667, 0.2380)
Pb (0.6667, 0.3333, 0.7560)
Pb (0.6667, 0.3333, 0.9046)

Computed properties:
E_form in meV per atom: -359

Record 2
DFT (PBE-GGA) results for a relaxed HgPW2 crystal.

Unit cell a=3.0135 b=4.3419 c=10.1790 alpha=90.00 beta=90.00 gamma=90.00
Fractional coordinates of all 8 atoms:
Hg (0.0000, 0.0000, 0.0000)
Hg (0.5000, 0.5000, 0.5000)
P (0.0000, 0.5000, 0.2500)
P (0.5000, 0.0000, 0.7500)
W (0.0000, 0.0000, 0.5675)
W (0.0000, 0.5000, 0.8025)
W (0.5000, 0.0000, 0.3025)
W (0.5000, 0.5000, 0.0675)

Computed properties:
E_form in meV per atom: 563
Energy above the lowest structure with this stoichiometry in meV per atom: 256

Record 3
DFT (PBE-GGA) results for a relaxed AlBi3Pd crystal.

Unit cell a=5.4083 b=5.4083 c=5.4083 alpha=90.00 beta=90.00 gamma=90.00
Fractional coordinates of all 5 atoms:
Al (0.0000, 0.0000, 0.0000)
Bi (0.0000, 0.5000, 0.5000)
Bi (0.5000, 0.0000, 0.5000)
Bi (0.5000, 0.5000, 0.0000)
Pd (0.5000, 0.5000, 0.5000)

Computed properties:
E_form in meV per atom: 456
Energy above the lowest structure with this stoichiometry in meV per atom: 0

Record 4
DFT (PBE-GGA) results for a relaxed Ac2PmPuN4 crystal.

Unit cell a=6.3681 b=3.7004 c=6.4782 alpha=90.00 beta=108.96 gamma=90.00
Fractional coordinates of all 8 atoms:
Ac (0.0000, 0.0000, 0.0000)
Ac (0.5000, 0.5000, 0.0000)
Pm (0.0000, 0.5000, 0.5000)
Pu (0.5000, 0.0000, 0.5000)
N (0.2565, 0.0000, 0.7197)
N (0.2733, 0.5000, 0.2863)
N (0.7267, 0.5000, 0.7137)
N (0.7435, 0.0000, 0.2803)

Computed properties:
Energy relative to the elements, uncorrected in kJ/mol of formula units: -884

Record 5
DFT (PBE-GGA) results for a relaxed La6SnRu2 crystal.

Unit cell a=6.1751 b=6.1751 c=9.4173 alpha=95.28 beta=95.28 gamma=47.77
Fractional coordinates of all 9 atoms:
La (0.0952, 0.0952, 0.3604)
La (0.2987, 0.2987, 0.8906)
La (0.3950, 0.3950, 0.3232)
La (0.6050, 0.6050, 0.6768)
La (0.7013, 0.7013, 0.1094)
La (0.9048, 0.9048, 0.6396)
Sn (0.0000, 0.0000, 0.0000)
Ru (0.2600, 0.2600, 0.6220)
Ru (0.7400, 0.7400, 0.3780)

Computed properties:
E_form in meV per atom: -359
Energy above the lowest structure with this stoichiometry in meV per atom: 0

Record 6
DFT (PBE-GGA) results for a relaxed Sr2TlHg crystal.

Unit cell a=8.9374 b=8.9374 c=7.8140 alpha=90.00 beta=90.00 gamma=90.00
Fractional coordinates of all 16 atoms:
Sr (0.2384, 0.7500, 0.1250)
Sr (0.2500, 0.2384, 0.8750)
Sr (0.2500, 0.2616, 0.3750)
Sr (0.2616, 0.7500, 0.6250)
Sr (0.7384, 0.2500, 0.6250)
Sr (0.7500, 0.7384, 0.3750)
Sr (0.7500, 0.7616, 0.8750)
Sr (0.7616, 0.2500, 0.1250)
Tl (0.0000, 0.0000, 0.5000)
Tl (0.0000, 0.5000, 0.7500)
Tl (0.5000, 0.0000, 0.2500)
Tl (0.5000, 0.5000, 0.0000)
Hg (0.0000, 0.0000, 0.0000)
Hg (0.0000, 0.5000, 0.2500)
Hg (0.5000, 0.0000, 0.7500)
Hg (0.5000, 0.5000, 0.5000)

Computed properties:
E_form in meV per atom: -209

Record 7
DFT (PBE-GGA) results for a relaxed Be4GaCu crystal.

Unit cell a=4.3720 b=4.3720 c=4.3720 alpha=60.00 beta=60.00 gamma=60.00
Fractional coordinates of all 6 atoms:
Be (0.3756, 0.3756, 0.3756)
Be (0.3756, 0.3756, 0.8731)
Be (0.3756, 0.8731, 0.3756)
Be (0.8731, 0.3756, 0.3756)
Ga (0.0000, 0.0000, 0.0000)
Cu (0.7500, 0.7500, 0.7500)

Computed properties:
E_form in meV per atom: 30

Record 8
DFT (PBE-GGA) results for a relaxed NiSnP crystal.

Unit cell a=3.5447 b=4.7741 c=6.1586 alpha=90.00 beta=90.00 gamma=90.00
Fractional coordinates of all 6 atoms:
Ni (0.0000, 0.1825, 0.0000)
Ni (0.5000, 0.8175, 0.5000)
Sn (0.0000, 0.4446, 0.6293)
Sn (0.5000, 0.5554, 0.1293)
P (0.0000, 0.0339, 0.3463)
P (0.5000, 0.9661, 0.8463)

Computed properties:
E_form in meV per atom: -253

Record 9
DFT (PBE-GGA) results for a relaxed TlTePtRh2 crystal.

Unit cell a=4.7997 b=4.7997 c=5.6409 alpha=90.00 beta=90.00 gamma=90.00
Fractional coordinates of all 5 atoms:
Tl (0.0000, 0.0000, 0.0000)
Te (0.0000, 0.0000, 0.5000)
Pt (0.5000, 0.5000, 0.0000)
Rh (0.0000, 0.5000, 0.5000)
Rh (0.5000, 0.0000, 0.5000)

Computed properties:
Energy relative to the elements, uncorrected in kJ/mol of formula units: 551

Record 10
DFT (PBE-GGA) results for a relaxed Cs2Tl3In4Sn crystal.

Unit cell a=5.2264 b=5.2264 c=12.9358 alpha=90.00 beta=90.00 gamma=90.00
Fractional coordinates of all 10 atoms:
Cs (0.0000, 0.5000, 0.2482)
Cs (0.5000, 0.0000, 0.7518)
Tl (0.0000, 0.0000, 0.0000)
Tl (0.0000, 0.5000, 0.6332)
Tl (0.5000, 0.0000, 0.3668)
In (0.0000, 0.0000, 0.5000)
In (0.0000, 0.5000, 0.8700)
In (0.5000, 0.0000, 0.1300)
In (0.5000, 0.5000, 0.5000)
Sn (0.5000, 0.5000, 0.0000)

Computed properties:
E_form in meV per atom: -98

Record 11
DFT (PBE-GGA) results for a relaxed Pm5Ho4Er3 crystal.

Unit cell a=6.9039 b=6.9039 c=10.9098 alpha=95.60 beta=95.60 gamma=49.15
Fractional coordinates of all 12 atoms:
Pm (0.0000, 0.0000, 0.0000)
Pm (0.3550, 0.3550, 0.7322)
Pm (0.4007, 0.4007, 0.4086)
Pm (0.5993, 0.5993, 0.5914)
Pm (0.6450, 0.6450, 0.2678)
Ho (0.0797, 0.0797, 0.7551)
Ho (0.1500, 0.1500, 0.4484)
Ho (0.8500, 0.8500, 0.5516)
Ho (0.9203, 0.9203, 0.2449)
Er (0.2559, 0.2559, 0.1074)
Er (0.5000, 0.5000, 0.0000)
Er (0.7441, 0.7441, 0.8926)

Computed properties:
E_form in meV per atom: 256

Record 12
DFT (PBE-GGA) results for a relaxed Mn2NiOs crystal.

Unit cell a=2.6187 b=3.6034 c=5.1213 alpha=90.00 beta=90.00 gamma=90.00
Fractional coordinates of all 4 atoms:
Mn (0.0000, 0.0000, 0.2427)
Mn (0.0000, 0.0000, 0.7573)
Ni (0.5000, 0.5000, 0.0000)
Os (0.5000, 0.5000, 0.5000)

Computed properties:
E_form in meV per atom: 62